Entry 1:
Computed, not measured: a geometry-optimized CrMo2AuN structure at the GGA-PBE level of DFT.

Cell and atoms, written as POSCAR:
```
CrMo2AuN
1.0
4.138 0.000 0.000
0.000 4.138 0.000
0.000 0.000 3.962
Cr Mo Au N
1 2 1 1
direct
0.000 0.000 0.000
0.000 0.500 0.500
0.500 0.000 0.500
0.500 0.500 0.000
0.000 0.000 0.500
```

Total magnetic moment   1.29 μB per formula unit
Space group   No. 123
Energy   -8.663 eV/atom
Density of states at the Fermi level   4.816 states/eV per cell
Uncorrected formation energy   -0.085 eV per atom

---

Entry 2:
Computed, not measured: a geometry-optimized Tl12Cd3Sn structure at the GGA-PBE level of DFT.

Cell and atoms, written as POSCAR:
```
Tl12Cd3Sn
1.0
4.814 0.000 0.000
0.000 4.814 0.000
0.000 0.000 20.289
Tl Cd Sn
12 3 1
direct
0.000 0.000 0.000
0.000 0.000 0.248
0.000 0.000 0.500
0.000 0.000 0.752
0.000 0.500 0.123
0.000 0.500 0.374
0.000 0.500 0.626
0.000 0.500 0.877
0.500 0.000 0.123
0.500 0.000 0.374
0.500 0.000 0.626
0.500 0.000 0.877
0.500 0.500 0.000
0.500 0.500 0.244
0.500 0.500 0.756
0.500 0.500 0.500
```

Total magnetic moment   0.00 μB per formula unit
Space group   No. 123
Energy   -2.152 eV/atom
Density of states at the Fermi level   7.792 states/eV per cell

---

Entry 3:
Computed, not measured: a geometry-optimized AlTe2Pt structure at the GGA-PBE level of DFT.

Cell and atoms, written as POSCAR:
```
AlTe2Pt
1.0
2.904 -4.118 0.000
2.904 4.118 0.000
0.000 0.000 4.035
Al Te Pt
1 2 1
direct
0.000 0.000 0.000
0.281 0.719 0.500
0.719 0.281 0.500
0.500 0.500 0.000
```

Total magnetic moment   0.00 μB per formula unit
Space group   No. 65
Energy   -4.135 eV/atom
Density of states at the Fermi level   2.199 states/eV per cell
Uncorrected formation energy   -0.118 eV per atom

---

Entry 4:
Computed, not measured: a geometry-optimized U2Cu4Se5 structure at the GGA-PBE level of DFT.

Cell and atoms, written as POSCAR:
```
U2Cu4Se5
1.0
1.989 1.148 16.790
-1.989 1.148 16.790
0.000 -2.297 16.790
U Cu Se
2 4 5
direct
0.132 0.132 0.132
0.868 0.868 0.868
0.314 0.314 0.314
0.414 0.414 0.414
0.586 0.586 0.586
0.686 0.686 0.686
0.236 0.236 0.236
0.366 0.366 0.366
0.500 0.500 0.500
0.634 0.634 0.634
0.764 0.764 0.764
```

Total magnetic moment   5.16 μB per formula unit
Space group   No. 166
Energy   -5.608 eV/atom
Density of states at the Fermi level   11.122 states/eV per cell
Uncorrected formation energy   -0.482 eV per atom

---

Entry 5:
Computed, not measured: a geometry-optimized CaCoW2 structure at the GGA-PBE level of DFT.

Cell and atoms, written as POSCAR:
```
CaCoW2
1.0
-1.556 2.506 4.473
1.556 -2.506 4.473
1.556 2.506 -4.473
Ca Co W
1 1 2
direct
0.000 0.000 0.000
0.737 0.237 0.500
0.290 0.790 0.500
0.518 0.518 0.000
```

Total magnetic moment   0.70 μB per formula unit
Distance to the lowest polymorph of the same formula   0.330 eV per atom
Space group   No. 44
Energy   -7.941 eV/atom
Density of states at the Fermi level   3.910 states/eV per cell

---

Entry 6:
Computed, not measured: a geometry-optimized BSb3Te structure at the GGA-PBE level of DFT.

Cell and atoms, written as POSCAR:
```
BSb3Te
1.0
5.744 0.000 0.000
0.000 5.744 0.000
0.000 0.000 5.744
B Sb Te
1 3 1
direct
0.000 0.000 0.000
0.000 0.500 0.500
0.500 0.000 0.500
0.500 0.500 0.000
0.500 0.500 0.500
```

Total magnetic moment   0.00 μB per formula unit
Distance to the lowest polymorph of the same formula   1.099 eV per atom
Space group   No. 221
Energy   -2.658 eV/atom
Density of states at the Fermi level   11.543 states/eV per cell
Uncorrected formation energy   1.780 eV per atom